No. 1
Pr2TiSb4Pd3: optimized geometry, PBE.

abc: 4.493 4.493 11.550
angles: 90.00 90.00 90.00
Sites, in units of the cell vectors:
Pr 0.000 0.500 0.248
Pr 0.500 0.000 0.752
Ti 0.000 0.000 0.500
Sb 0.000 0.000 0.000
Sb 0.000 0.500 0.638
Sb 0.500 0.000 0.362
Sb 0.500 0.500 0.000
Pd 0.000 0.500 0.865
Pd 0.500 0.000 0.135
Pd 0.500 0.500 0.500

Formation energy (no corrections) ... -752 meV per atom
Density of states at the Fermi level ... 5.32 states/eV per cell
Spin magnetization ... 1.50 μB per cell


No. 2
PrTl2Sb2Pd7: optimized geometry, PBE.

abc: 4.124 4.124 15.453
angles: 94.37 94.37 89.95
Sites, in units of the cell vectors:
Pr 0.000 0.000 0.000
Tl 0.110 0.110 0.407
Tl 0.890 0.890 0.593
Sb 0.425 0.425 0.749
Sb 0.575 0.575 0.251
Pd 0.043 0.542 0.143
Pd 0.395 0.395 0.579
Pd 0.458 0.957 0.857
Pd 0.500 0.500 0.000
Pd 0.542 0.043 0.143
Pd 0.605 0.605 0.421
Pd 0.957 0.458 0.857

Formation energy (no corrections) ... -394 meV per atom
Density of states at the Fermi level ... 4.80 states/eV per cell
Spin magnetization ... 0.00 μB per cell


No. 3
Pr3Zn2SbPd9: optimized geometry, PBE.

abc: 5.733 5.733 11.766
angles: 90.00 90.00 120.00
Sites, in units of the cell vectors:
Pr 0.000 0.000 0.000
Pr 0.333 0.667 0.757
Pr 0.667 0.333 0.243
Zn 0.333 0.667 0.164
Zn 0.667 0.333 0.836
Sb 0.000 0.000 0.500
Pd 0.000 0.500 0.000
Pd 0.169 0.339 0.330
Pd 0.169 0.831 0.330
Pd 0.339 0.169 0.670
Pd 0.500 0.000 0.000
Pd 0.500 0.500 0.000
Pd 0.661 0.831 0.330
Pd 0.831 0.169 0.670
Pd 0.831 0.661 0.670

Formation energy (no corrections) ... -524 meV per atom
Density of states at the Fermi level ... 6.98 states/eV per cell
Spin magnetization ... 0.00 μB per cell


No. 4
Pr2Zn2SbPd5: optimized geometry, PBE.

abc: 9.898 9.898 3.929
angles: 90.00 90.00 90.00
Sites, in units of the cell vectors:
Pr 0.182 0.318 0.000
Pr 0.318 0.818 0.000
Pr 0.682 0.182 0.000
Pr 0.818 0.682 0.000
Zn 0.114 0.614 0.000
Zn 0.386 0.114 0.000
Zn 0.614 0.886 0.000
Zn 0.886 0.386 0.000
Sb 0.000 0.000 0.000
Sb 0.500 0.500 0.000
Pd 0.000 0.500 0.500
Pd 0.065 0.787 0.500
Pd 0.213 0.065 0.500
Pd 0.287 0.565 0.500
Pd 0.435 0.287 0.500
Pd 0.500 0.000 0.500
Pd 0.565 0.713 0.500
Pd 0.713 0.435 0.500
Pd 0.787 0.935 0.500
Pd 0.935 0.213 0.500

Formation energy (no corrections) ... -655 meV per atom
Density of states at the Fermi level ... 7.26 states/eV per cell
Spin magnetization ... 0.00 μB per cell